Compound: RbZrMo3
Source: the Alexandria database
Functional: GGA-PBE
Structure: optimized geometry

```
RbZrMo3
1.0
5.063 0.000 0.000
0.000 5.063 0.000
0.000 0.000 5.063
Rb Zr Mo
1 1 3
Direct
0.000 0.000 0.000
0.500 0.500 0.500
0.000 0.500 0.500
0.500 0.000 0.500
0.500 0.500 0.000
```

total magnetic moment = 2.77 μB/f.u.
energy relative to the elements = 2.220 eV/atom
SG = Pm-3m
energy above the lowest structure with this stoichiometry = 0 kJ/mol of formula units